Entry 1:
# Sr2InOs | Alexandria | PBE | relaxed
# Calculated volume: 38.9 A^3/atom
# Theoretical density: 5.1 g/cm3
# Total DFT energy (no corrections): -3.962 eV/atom
# ΔE_f: 1.483 eV per formula unit
# Crystal system: tetragonal
data_Sr2InOs
_cell_length_a 10.884
_cell_length_b 10.884
_cell_length_c 5.253
_cell_angle_alpha 90.00
_cell_angle_beta 90.00
_cell_angle_gamma 90.00
_symmetry_space_group_name_H-M 'I -4 2 d'
_symmetry_Int_Tables_number 122
_symmetry_space_group_name_Hall 'I -4 2bw'
loop_
_atom_site_label
_atom_site_type_symbol
_atom_site_fract_x
_atom_site_fract_y
_atom_site_fract_z
Sr1 Sr 0.085 0.250 0.125
In1 In 0.000 0.000 0.500
Os1 Os 0.000 0.000 0.000

=====

Entry 2:
# SrInOs3 | Alexandria | PBE | relaxed
# Calculated volume: 24.4 A^3/atom
# Theoretical density: 10.5 g/cm3
# Total DFT energy (no corrections): -5.481 eV/atom
# ΔE_f: 10.703 eV per formula unit
# Crystal system: cubic
data_SrInOs3
_cell_length_a 4.961
_cell_length_b 4.961
_cell_length_c 4.961
_cell_angle_alpha 90.00
_cell_angle_beta 90.00
_cell_angle_gamma 90.00
_symmetry_space_group_name_H-M 'P m -3 m'
_symmetry_Int_Tables_number 221
_symmetry_space_group_name_Hall '-P 4 2 3'
loop_
_atom_site_label
_atom_site_type_symbol
_atom_site_fract_x
_atom_site_fract_y
_atom_site_fract_z
Sr1 Sr 0.000 0.000 0.000
In1 In 0.500 0.500 0.500
Os1 Os 0.000 0.500 0.500

=====

Entry 3:
# Sr2InOs | Alexandria | PBE | relaxed
# Calculated volume: 25.2 A^3/atom
# Theoretical density: 7.9 g/cm3
# Total DFT energy (no corrections): -3.852 eV/atom
# ΔE_f: 1.925 eV per formula unit
# Crystal system: cubic
data_Sr2InOs
_cell_length_a 7.384
_cell_length_b 7.384
_cell_length_c 7.384
_cell_angle_alpha 90.00
_cell_angle_beta 90.00
_cell_angle_gamma 90.00
_symmetry_space_group_name_H-M 'F -4 3 m'
_symmetry_Int_Tables_number 216
_symmetry_space_group_name_Hall 'F -4 2 3'
loop_
_atom_site_label
_atom_site_type_symbol
_atom_site_fract_x
_atom_site_fract_y
_atom_site_fract_z
Sr1 Sr 0.000 0.000 0.000
Sr2 Sr 0.250 0.250 0.250
In1 In 0.000 0.000 0.500
Os1 Os 0.250 0.250 0.750

=====

Entry 4:
# SrInOs3 | Alexandria | PBE | relaxed
# Calculated volume: 24.5 A^3/atom
# Theoretical density: 10.5 g/cm3
# Total DFT energy (no corrections): -4.293 eV/atom
# ΔE_f: 16.645 eV per formula unit
# Crystal system: cubic
data_SrInOs3
_cell_length_a 4.965
_cell_length_b 4.965
_cell_length_c 4.965
_cell_angle_alpha 90.00
_cell_angle_beta 90.00
_cell_angle_gamma 90.00
_symmetry_space_group_name_H-M 'P m -3 m'
_symmetry_Int_Tables_number 221
_symmetry_space_group_name_Hall '-P 4 2 3'
loop_
_atom_site_label
_atom_site_type_symbol
_atom_site_fract_x
_atom_site_fract_y
_atom_site_fract_z
Sr1 Sr 0.000 0.000 0.000
In1 In 0.500 0.500 0.500
Os1 Os 0.000 0.000 0.500

=====

Entry 5:
# Sr2InOs | Alexandria | PBE | relaxed
# Calculated volume: 30.4 A^3/atom
# Theoretical density: 6.6 g/cm3
# Total DFT energy (no corrections): -4.052 eV/atom
# ΔE_f: 1.125 eV per formula unit
# Crystal system: tetragonal
data_Sr2InOs
_cell_length_a 3.666
_cell_length_b 3.666
_cell_length_c 9.048
_cell_angle_alpha 90.00
_cell_angle_beta 90.00
_cell_angle_gamma 90.00
_symmetry_space_group_name_H-M 'P 4 m m'
_symmetry_Int_Tables_number 99
loop_
_symmetry_equiv_pos_as_xyz
'x,y,z'
'-y,x,z'
'-x,-y,z'
'y,-x,z'
'-x,y,z'
'y,x,z'
'x,-y,z'
'-y,-x,z'
loop_
_atom_site_label
_atom_site_type_symbol
_atom_site_fract_x
_atom_site_fract_y
_atom_site_fract_z
Sr1 Sr 0.000 0.000 0.000
Sr2 Sr 0.500 0.500 0.414
In1 In 0.000 0.000 0.652
Os1 Os 0.500 0.500 0.770

=====

Entry 6:
# Sr2InOs | Alexandria | PBE | relaxed
# Calculated volume: 29.0 A^3/atom
# Theoretical density: 6.9 g/cm3
# Total DFT energy (no corrections): -3.736 eV/atom
# ΔE_f: 2.386 eV per formula unit
# Crystal system: trigonal
data_Sr2InOs
_cell_length_a 3.6170
_cell_length_b 3.6170
_cell_length_c 30.7519
_cell_angle_alpha 90.00
_cell_angle_beta 90.00
_cell_angle_gamma 120.00
_symmetry_space_group_name_H-M 'R -3 m'
_symmetry_Int_Tables_number 166
_symmetry_space_group_name_Hall '-R 3 2"'
loop_
_atom_site_label
_atom_site_type_symbol
_atom_site_fract_x
_atom_site_fract_y
_atom_site_fract_z
Sr1 Sr 0.0000 0.0000 0.2371
In1 In 0.0000 0.0000 0.0000
Os1 Os 0.0000 0.0000 0.5000

=====

Entry 7:
# Sr2InOs | Alexandria | PBE | relaxed
# Calculated volume: 27.1 A^3/atom
# Theoretical density: 7.4 g/cm3
# Total DFT energy (no corrections): -3.850 eV/atom
# ΔE_f: 1.931 eV per formula unit
# Crystal system: tetragonal
data_Sr2InOs
_cell_length_a 5.000
_cell_length_b 5.000
_cell_length_c 4.330
_cell_angle_alpha 90.00
_cell_angle_beta 90.00
_cell_angle_gamma 90.00
_symmetry_space_group_name_H-M 'P 4/m m m'
_symmetry_Int_Tables_number 123
_symmetry_space_group_name_Hall '-P 4 2'
loop_
_atom_site_label
_atom_site_type_symbol
_atom_site_fract_x
_atom_site_fract_y
_atom_site_fract_z
Sr1 Sr 0.000 0.500 0.000
In1 In 0.000 0.000 0.500
Os1 Os 0.500 0.500 0.500

=====

Entry 8:
# SrInOs | Alexandria | PBE | relaxed
# Calculated volume: 25.0 A^3/atom
# Theoretical density: 8.7 g/cm3
# Total DFT energy (no corrections): -4.520 eV/atom
# ΔE_f: 2.090 eV per formula unit
# Crystal system: trigonal
data_SrInOs
_cell_length_a 3.5348
_cell_length_b 3.5348
_cell_length_c 6.9312
_cell_angle_alpha 90.00
_cell_angle_beta 90.00
_cell_angle_gamma 120.00
_symmetry_space_group_name_H-M 'P 3 m 1'
_symmetry_Int_Tables_number 156
loop_
_symmetry_equiv_pos_as_xyz
'x,y,z'
'-y,x-y,z'
'-x+y,-x,z'
'-y,-x,z'
'-x+y,y,z'
'x,x-y,z'
loop_
_atom_site_label
_atom_site_type_symbol
_atom_site_fract_x
_atom_site_fract_y
_atom_site_fract_z
Sr1 Sr 0.0000 0.0000 0.0000
In1 In 0.3333 0.6667 0.4197
Os1 Os 0.6667 0.3333 0.6810

=====

Entry 9:
# SrInOs4 | Alexandria | PBE | relaxed
# Calculated volume: 18.2 A^3/atom
# Theoretical density: 14.6 g/cm3
# Total DFT energy (no corrections): -7.696 eV/atom
# ΔE_f: 3.160 eV per formula unit
# Crystal system: cubic
data_SrInOs4
_cell_length_a 7.590
_cell_length_b 7.590
_cell_length_c 7.590
_cell_angle_alpha 90.00
_cell_angle_beta 90.00
_cell_angle_gamma 90.00
_symmetry_space_group_name_H-M 'F -4 3 m'
_symmetry_Int_Tables_number 216
_symmetry_space_group_name_Hall 'F -4 2 3'
loop_
_atom_site_label
_atom_site_type_symbol
_atom_site_fract_x
_atom_site_fract_y
_atom_site_fract_z
Sr1 Sr 0.000 0.000 0.000
In1 In 0.250 0.250 0.750
Os1 Os 0.124 0.124 0.376

=====

Entry 10:
# SrTa2InOs | Alexandria | PBE | relaxed
# Calculated volume: 27.6 A^3/atom
# Theoretical density: 9.1 g/cm3
# Total DFT energy (no corrections): -6.954 eV/atom
# ΔE_f: 4.586 eV per formula unit
# Crystal system: tetragonal
data_SrTa2InOs
_cell_length_a 4.886
_cell_length_b 4.886
_cell_length_c 5.786
_cell_angle_alpha 90.00
_cell_angle_beta 90.00
_cell_angle_gamma 90.00
_symmetry_space_group_name_H-M 'P 4/m m m'
_symmetry_Int_Tables_number 123
_symmetry_space_group_name_Hall '-P 4 2'
loop_
_atom_site_label
_atom_site_type_symbol
_atom_site_fract_x
_atom_site_fract_y
_atom_site_fract_z
Sr1 Sr 0.000 0.000 0.000
Ta1 Ta 0.000 0.500 0.500
In1 In 0.500 0.500 0.000
Os1 Os 0.000 0.000 0.500

=====

Entry 11:
# SrZrInOs2 | Alexandria | PBE | relaxed
# Calculated volume: 25.5 A^3/atom
# Theoretical density: 8.8 g/cm3
# Total DFT energy (no corrections): -5.256 eV/atom
# ΔE_f: 9.149 eV per formula unit
# Crystal system: tetragonal
data_SrZrInOs2
_cell_length_a 4.963
_cell_length_b 4.963
_cell_length_c 5.186
_cell_angle_alpha 90.00
_cell_angle_beta 90.00
_cell_angle_gamma 90.00
_symmetry_space_group_name_H-M 'P 4/m m m'
_symmetry_Int_Tables_number 123
_symmetry_space_group_name_Hall '-P 4 2'
loop_
_atom_site_label
_atom_site_type_symbol
_atom_site_fract_x
_atom_site_fract_y
_atom_site_fract_z
Sr1 Sr 0.000 0.000 0.000
Zr1 Zr 0.500 0.500 0.000
In1 In 0.000 0.000 0.500
Os1 Os 0.000 0.500 0.500

=====

Entry 12:
# TaInOs2 | Alexandria | PBE | relaxed
# Calculated volume: 16.7 A^3/atom
# Theoretical density: 16.8 g/cm3
# Total DFT energy (no corrections): -8.813 eV/atom
# ΔE_f: 1.797 eV per formula unit
# Crystal system: orthorhombic
data_TaInOs2
_cell_length_a 3.154
_cell_length_b 4.377
_cell_length_c 4.843
_cell_angle_alpha 90.00
_cell_angle_beta 90.00
_cell_angle_gamma 90.00
_symmetry_space_group_name_H-M 'P m m m'
_symmetry_Int_Tables_number 47
loop_
_symmetry_equiv_pos_as_xyz
'x,y,z'
'-x,-y,-z'
'-x,-y,z'
'x,y,-z'
'x,-y,-z'
'-x,y,z'
'-x,y,-z'
'x,-y,z'
loop_
_atom_site_label
_atom_site_type_symbol
_atom_site_fract_x
_atom_site_fract_y
_atom_site_fract_z
Ta1 Ta 0.000 0.000 0.000
In1 In 0.500 0.000 0.500
Os1 Os 0.000 0.500 0.500
Os2 Os 0.500 0.500 0.000

=====

Entry 13:
# Ta2InOs | Alexandria | PBE | relaxed
# Calculated volume: 18.0 A^3/atom
# Theoretical density: 15.4 g/cm3
# Total DFT energy (no corrections): -9.217 eV/atom
# ΔE_f: 0.804 eV per formula unit
# Crystal system: trigonal
data_Ta2InOs
_cell_length_a 2.9557
_cell_length_b 2.9557
_cell_length_c 28.5490
_cell_angle_alpha 90.00
_cell_angle_beta 90.00
_cell_angle_gamma 120.00
_symmetry_space_group_name_H-M 'R -3 m'
_symmetry_Int_Tables_number 166
_symmetry_space_group_name_Hall '-R 3 2"'
loop_
_atom_site_label
_atom_site_type_symbol
_atom_site_fract_x
_atom_site_fract_y
_atom_site_fract_z
Ta1 Ta 0.0000 0.0000 0.2438
In1 In 0.0000 0.0000 0.0000
Os1 Os 0.0000 0.0000 0.5000

=====

Entry 14:
# Ta2InOs | Alexandria | PBE | relaxed
# Calculated volume: 20.5 A^3/atom
# Theoretical density: 13.5 g/cm3
# Total DFT energy (no corrections): -8.906 eV/atom
# ΔE_f: 2.048 eV per formula unit
# Crystal system: tetragonal
data_Ta2InOs
_cell_length_a 7.724
_cell_length_b 7.724
_cell_length_c 5.487
_cell_angle_alpha 90.00
_cell_angle_beta 90.00
_cell_angle_gamma 90.00
_symmetry_space_group_name_H-M 'I -4 2 d'
_symmetry_Int_Tables_number 122
_symmetry_space_group_name_Hall 'I -4 2bw'
loop_
_atom_site_label
_atom_site_type_symbol
_atom_site_fract_x
_atom_site_fract_y
_atom_site_fract_z
Ta1 Ta 0.191 0.250 0.125
In1 In 0.000 0.000 0.500
Os1 Os 0.000 0.000 0.000

=====

Entry 15:
# Ta2InOs | Alexandria | PBE | relaxed
# Calculated volume: 17.7 A^3/atom
# Theoretical density: 15.7 g/cm3
# Total DFT energy (no corrections): -9.348 eV/atom
# ΔE_f: 0.283 eV per formula unit
# Crystal system: orthorhombic
data_Ta2InOs
_cell_length_a 3.313
_cell_length_b 4.568
_cell_length_c 9.333
_cell_angle_alpha 90.00
_cell_angle_beta 90.00
_cell_angle_gamma 90.00
_symmetry_space_group_name_H-M 'I m m m'
_symmetry_Int_Tables_number 71
_symmetry_space_group_name_Hall '-I 2 2'
loop_
_atom_site_label
_atom_site_type_symbol
_atom_site_fract_x
_atom_site_fract_y
_atom_site_fract_z
Ta1 Ta 0.000 0.000 0.234
In1 In 0.000 0.500 0.000
Os1 Os 0.000 0.500 0.500